[1]
# HfFe3W | Alexandria via LeMat-Bulk | PBE | optimized geometry
data_HfFe3W
_chemical_formula_sum 'Hf1 Fe3 W1'
_symmetry_space_group_name_H-M 'P 1'
_symmetry_Int_Tables_number 1
_symmetry_space_group_name_Hall 'P 1'
_cell_length_a 4.411
_cell_length_b 4.411
_cell_length_c 4.411
_cell_angle_alpha 90.00
_cell_angle_beta 90.00
_cell_angle_gamma 90.00
loop_
_atom_site_label
_atom_site_type_symbol
_atom_site_fract_x
_atom_site_fract_y
_atom_site_fract_z
Hf1 Hf 0.000 0.000 0.000
Fe1 Fe 0.000 0.500 0.500
Fe2 Fe 0.500 0.000 0.500
Fe3 Fe 0.500 0.500 0.000
W1 W 0.500 0.500 0.500
# V: 85.8 Å³/cell
# Energy of formation: 1.14 eV/atom



[2]
# ZrRh2W | Alexandria via LeMat-Bulk | PBE | optimized geometry
data_ZrRh2W
_chemical_formula_sum 'Zr1 Rh2 W1'
_symmetry_space_group_name_H-M 'P 1'
_symmetry_Int_Tables_number 1
_symmetry_space_group_name_Hall 'P 1'
_cell_length_a 9.360
_cell_length_b 9.360
_cell_length_c 9.360
_cell_angle_alpha 17.62
_cell_angle_beta 17.62
_cell_angle_gamma 17.62
loop_
_atom_site_label
_atom_site_type_symbol
_atom_site_fract_x
_atom_site_fract_y
_atom_site_fract_z
Zr1 Zr 0.000 0.000 0.000
Rh1 Rh 0.244 0.244 0.244
Rh2 Rh 0.756 0.756 0.756
W1 W 0.500 0.500 0.500
# V: 65.6 Å³/cell
# Energy of formation: -0.09 eV/atom



[3]
# NbMo2As2 | Alexandria via LeMat-Bulk | PBE | optimized geometry
data_NbMo2As2
_chemical_formula_sum 'Nb2 Mo4 As4'
_symmetry_space_group_name_H-M 'P 1'
_symmetry_Int_Tables_number 1
_symmetry_space_group_name_Hall 'P 1'
_cell_length_a 7.142
_cell_length_b 7.142
_cell_length_c 3.171
_cell_angle_alpha 90.00
_cell_angle_beta 90.00
_cell_angle_gamma 90.00
loop_
_atom_site_label
_atom_site_type_symbol
_atom_site_fract_x
_atom_site_fract_y
_atom_site_fract_z
Nb1 Nb 0.000 0.000 0.000
Nb2 Nb 0.500 0.500 0.000
Mo1 Mo 0.142 0.358 0.500
Mo2 Mo 0.358 0.858 0.500
Mo3 Mo 0.642 0.142 0.500
Mo4 Mo 0.858 0.642 0.500
As1 As 0.154 0.654 0.000
As2 As 0.346 0.154 0.000
As3 As 0.654 0.846 0.000
As4 As 0.846 0.346 0.000
# V: 161.7 Å³/cell
# Energy of formation: -0.06 eV/atom



no.,E (eV/atom),energy above the most stable polymorph in this dataset (eV/f.u.),density of states at the Fermi level (states/eV per atom)
1,-8.5223,0.00,0.937
2,-9.1385,1.07,0.780
3,-8.2704,0.00,0.876